Arrangement A

Below is an optimized crystal structure of Sc2Ti2Tl, with properties calculated at the PBE level.

Results
**Symmetry**: P4/mbm
**ρ**: 5.95 g/cm³

Structure (POSCAR):
```
Sc2Ti2Tl
1.0
-6.878 2.053 -2.374
-2.537 -7.003 1.294
-0.931 0.995 3.559
Tl Sc Ti
2 4 4
Direct
0.000 0.000 0.000
0.500 0.500 0.000
0.147 0.353 0.000
0.353 0.853 0.000
0.853 0.647 0.000
0.647 0.147 0.000
0.862 0.362 0.500
0.362 0.138 0.500
0.138 0.638 0.500
0.638 0.862 0.500
```

Arrangement B

Below is an optimized crystal structure of Sc2Ti2Tl, with properties calculated at the PBE level.

Results
**Symmetry**: P4/mbm
**ρ**: 6.06 g/cm³

Structure (POSCAR):
```
Sc2Ti2Tl
1.0
7.326 0.000 0.000
0.000 7.326 0.000
0.000 0.000 3.984
Sc Tl Ti
4 2 4
Direct
0.658 0.842 0.500
0.842 0.342 0.500
0.158 0.658 0.500
0.342 0.158 0.500
0.500 0.500 0.000
0.000 0.000 0.000
0.868 0.632 0.000
0.368 0.868 0.000
0.132 0.368 0.000
0.632 0.132 0.000
```

Tell me which of them is the most stable. Sure, it is arrangement B.